First-principles (GGA-PBE) data for a relaxed CaAs2Pb crystal, as listed in Alexandria.

DFT formation energy, kJ/mol of formula units: -116
Mass density, g/cm³: 6.581
Electronic total energy, eV for the cell shown: -16.208

a b c (Å): 3.5570 3.5575 7.9184
angles (deg): 90.00 90.00 90.34
Last column: nearest neighbours and their distance in Å.
Atoms (fractional coordinates):
As: 0.0000 0.0000 0.0086  4 Ca 3.15-3.17, 4 Pb 3.24-3.25
Pb: 0.5000 0.5000 0.7500  8 As 3.24-3.25, 4 Pb 3.56
Ca: 0.5000 0.5000 0.2500  8 As 3.15-3.17
As: 0.0000 0.0000 0.4914  4 Ca 3.15-3.17, 4 Pb 3.24-3.25